Entry 1:
Entry from the Alexandria database: a geometry-optimized CuReHg2 structure (PBE).

ΔE_f = 17.6 kcal/mol of atoms
DOS at the Fermi energy = 0.53 states/eV/atom
Distance to the lowest polymorph of the same formula = 0.218 eV/atom

Unit cell a=3.9674 b=4.1745 c=4.1745 alpha=90.00 beta=90.00 gamma=90.00
Each line ends with the local moment (μB).
Atoms (fractional coordinates):
Cu  0.5000  0.0000  0.5000  -0.01
Hg  0.0000  0.0000  0.0000  -0.01
Hg  0.0000  0.5000  0.5000  -0.01
Re  0.5000  0.5000  0.0000  0.52

---

Entry 2:
Entry from the Alexandria database: a geometry-optimized CdAg12Au7 structure (PBE).

ΔE_f = 1.6 kcal/mol of atoms
DOS at the Fermi energy = 0.20 states/eV/atom
Distance to the lowest polymorph of the same formula = 0.029 eV/atom

Unit cell a=7.2631 b=7.2631 c=7.2631 alpha=87.44 beta=87.44 gamma=87.44
Atoms (fractional coordinates):
Cd  0.0000  0.0000  0.0000
Ag  0.8610  0.2869  0.7493
Ag  0.7131  0.2507  0.1390
Ag  0.6254  0.1389  0.5126
Ag  0.8611  0.4874  0.3746
Ag  0.2507  0.1390  0.7131
Ag  0.4874  0.3746  0.8611
Ag  0.5126  0.6254  0.1389
Ag  0.7493  0.8610  0.2869
Ag  0.1389  0.5126  0.6254
Ag  0.3746  0.8611  0.4874
Ag  0.2869  0.7493  0.8610
Ag  0.1390  0.7131  0.2507
Au  0.8619  0.6278  0.9501
Au  0.3722  0.0499  0.1381
Au  0.0499  0.1381  0.3722
Au  0.5000  0.5000  0.5000
Au  0.9501  0.8619  0.6278
Au  0.6278  0.9501  0.8619
Au  0.1381  0.3722  0.0499

---

Entry 3:
Entry from the Alexandria database: a geometry-optimized Tm2NiGe4Rh3 structure (PBE).

ΔE_f = -17.2 kcal/mol of atoms
DOS at the Fermi energy = 0.50 states/eV/atom

Unit cell a=4.0612 b=4.0612 c=10.5150 alpha=90.00 beta=90.00 gamma=90.00
Atoms (fractional coordinates):
Tm  0.5000  0.0000  0.2506
Tm  0.0000  0.5000  0.7494
Ni  0.5000  0.5000  0.5000
Ge  0.5000  0.5000  0.0000
Ge  0.0000  0.0000  0.0000
Ge  0.5000  0.0000  0.6316
Ge  0.0000  0.5000  0.3684
Rh  0.0000  0.0000  0.5000
Rh  0.5000  0.0000  0.8622
Rh  0.0000  0.5000  0.1378

---

Entry 4:
Entry from the Alexandria database: a geometry-optimized La2PrHo3As6 structure (PBE).

ΔE_f = -35.2 kcal/mol of atoms
DOS at the Fermi energy = 0.14 states/eV/atom

Unit cell a=4.2311 b=8.4499 c=9.4481 alpha=102.82 beta=102.94 gamma=90.00
Atoms (fractional coordinates):
La  0.8337  0.6676  0.6674
La  0.1663  0.3324  0.3326
Pr  0.5000  0.0000  0.0000
Ho  0.5000  0.5000  0.0000
Ho  0.8335  0.1665  0.6669
Ho  0.1665  0.8335  0.3331
As  0.3307  0.9254  0.6614
As  0.6634  0.5913  0.3267
As  0.6693  0.0746  0.3386
As  0.9967  0.2566  0.9934
As  0.0033  0.7434  0.0066
As  0.3366  0.4087  0.6733

---

Entry 5:
Entry from the Alexandria database: a geometry-optimized Ba2LaAlCu structure (PBE).

ΔE_f = 11.9 kcal/mol of atoms
DOS at the Fermi energy = 1.52 states/eV/atom

Unit cell a=6.4627 b=5.8730 c=6.4627 alpha=90.00 beta=90.00 gamma=90.00
Atoms (fractional coordinates):
Al  0.0000  0.0000  0.0000
Ba  0.0000  0.0000  0.5000
Ba  0.5000  0.0000  0.0000
Cu  0.5000  0.5000  0.5000
La  0.0000  0.5000  0.0000

---

Entry 6:
Entry from the Alexandria database: a geometry-optimized SrLiAgAu2 structure (PBE).

ΔE_f = -12.0 kcal/mol of atoms
DOS at the Fermi energy = 0.30 states/eV/atom
Distance to the lowest polymorph of the same formula = 0.000 eV/atom

Unit cell a=4.2178 b=4.2178 c=7.1203 alpha=107.23 beta=107.23 gamma=90.00
Atoms (fractional coordinates):
Sr  0.0000  0.0000  0.0000
Li  0.7500  0.2500  0.5000
Ag  0.2500  0.7500  0.5000
Au  0.6078  0.6078  0.2156
Au  0.3922  0.3922  0.7844

---

Entry 7:
Entry from the Alexandria database: a geometry-optimized TlCd2Cl structure (PBE).

Raw formation energy = -0.285 eV/atom
DOS at the Fermi energy = 0.05 states/eV/atom
Distance to the lowest polymorph of the same formula = 0.039 eV/atom

Unit cell a=8.6670 b=8.6670 c=6.8523 alpha=50.77 beta=50.77 gamma=90.00
Atoms (fractional coordinates):
Tl  0.0000  0.0000  0.0000
Tl  0.7500  0.2500  0.5000
Cl  0.5000  0.5000  0.0000
Cl  0.2500  0.7500  0.5000
Cd  0.6145  0.1250  0.2500
Cd  0.1355  0.6250  0.2500
Cd  0.3750  0.3855  0.7500
Cd  0.8750  0.8645  0.7500

---

Entry 8:
Entry from the Alexandria database: a geometry-optimized Sc2CdTcO8 structure (PBE).

Raw formation energy = -1.966 eV/atom
DOS at the Fermi energy = 0.63 states/eV/atom

Unit cell a=4.8007 b=4.7968 c=6.6214 alpha=90.00 beta=90.00 gamma=91.60
Atoms (fractional coordinates):
Sc  0.5000  0.5000  0.7462
Sc  0.5000  0.5000  0.2538
Cd  0.0000  0.0000  0.5000
Tc  0.0000  0.0000  0.0000
O  0.1928  0.8063  0.2012
O  0.7106  0.7113  0.0000
O  0.8072  0.1937  0.2012
O  0.8072  0.1937  0.7988
O  0.2894  0.2887  0.0000
O  0.1928  0.8063  0.7988
O  0.6854  0.6866  0.5000
O  0.3146  0.3134  0.5000

---

Entry 9:
Entry from the Alexandria database: a geometry-optimized LaAlTl2 structure (PBE).

ΔE_f = -4.2 kcal/mol of atoms
DOS at the Fermi energy = 0.62 states/eV/atom
Distance to the lowest polymorph of the same formula = 0.096 eV/atom

Unit cell a=6.2360 b=6.2360 c=6.2360 alpha=138.03 beta=135.55 gamma=62.79
Atoms (fractional coordinates):
Tl  0.9984  0.9984  0.0000
Tl  0.7051  0.2051  0.5000
Al  0.5177  0.5177  0.0000
La  0.2787  0.7787  0.5000

---

Entry 10:
Entry from the Alexandria database: a geometry-optimized LaAgO3 structure (PBE).

Raw formation energy = -0.993 eV/atom
DOS at the Fermi energy = 0.51 states/eV/atom

Unit cell a=4.3603 b=4.3603 c=4.3603 alpha=90.00 beta=90.00 gamma=90.00
Atoms (fractional coordinates):
O  0.0000  0.5000  0.0000
O  0.0000  0.0000  0.5000
O  0.5000  0.0000  0.0000
Ag  0.5000  0.5000  0.5000
La  0.0000  0.0000  0.0000

---

Entry 11:
Entry from the Alexandria database: a geometry-optimized LaIn3Se6 structure (PBE).

Raw formation energy = -0.860 eV/atom
DOS at the Fermi energy = 0.07 states/eV/atom

Unit cell a=4.1430 b=12.0113 c=11.6002 alpha=112.82 beta=90.00 gamma=90.00
Atoms (fractional coordinates):
La  0.7500  0.0567  0.7085
La  0.2500  0.9433  0.2915
In  0.7500  0.4470  0.8328
In  0.2500  0.5530  0.1672
In  0.7500  0.7047  0.4770
In  0.2500  0.2953  0.5230
In  0.7500  0.1698  0.1005
In  0.2500  0.8302  0.8995
Se  0.7500  0.4530  0.6018
Se  0.2500  0.5470  0.3982
Se  0.7500  0.9271  0.0833
Se  0.2500  0.0729  0.9167
Se  0.7500  0.3940  0.0584
Se  0.2500  0.6060  0.9416
Se  0.7500  0.7367  0.2561
Se  0.2500  0.2633  0.7439
Se  0.7500  0.1040  0.4639
Se  0.2500  0.8960  0.5361
Se  0.7500  0.7966  0.7369
Se  0.2500  0.2034  0.2631

---

Entry 12:
Entry from the Alexandria database: a geometry-optimized UCoGe2 structure (PBE).

ΔE_f = 23.8 kcal/mol of atoms
DOS at the Fermi energy = 2.63 states/eV/atom

Unit cell a=4.8055 b=4.8055 c=6.4316 alpha=68.06 beta=68.06 gamma=60.00
Each line ends with the local moment (μB).
Atoms (fractional coordinates):
Co  0.0000  0.0000  0.0000  1.62
Ge  0.1299  0.1299  0.6103  0.00
Ge  0.8701  0.8701  0.3897  0.00
U  0.5000  0.5000  0.5000  2.15

---

Entry 13:
Entry from the Alexandria database: a geometry-optimized GaAsOs structure (PBE).

ΔE_f = -0.1 kcal/mol of atoms
DOS at the Fermi energy = 0.46 states/eV/atom

Unit cell a=6.3967 b=6.7171 c=6.3800 alpha=130.12 beta=90.00 gamma=90.00
Atoms (fractional coordinates):
As  0.3979  0.8520  0.6613
As  0.6021  0.1480  0.3387
As  0.1021  0.8520  0.1613
As  0.8979  0.1480  0.8387
Ga  0.3306  0.3489  0.2089
Ga  0.6694  0.6511  0.7911
Ga  0.8306  0.6511  0.2911
Ga  0.1694  0.3489  0.7089
Os  0.0345  0.7355  0.7048
Os  0.4655  0.7355  0.2048
Os  0.9655  0.2645  0.2952
Os  0.5345  0.2645  0.7952

---

Entry 14:
Entry from the Alexandria database: a geometry-optimized MgAl4Ga5 structure (PBE).

ΔE_f = 1.8 kcal/mol of atoms
DOS at the Fermi energy = 0.35 states/eV/atom

Unit cell a=5.3671 b=6.5403 c=6.5403 alpha=80.31 beta=65.78 gamma=65.78
Atoms (fractional coordinates):
Mg  0.1441  0.0000  0.0000
Al  0.3231  0.3971  0.8857
Al  0.7202  0.8857  0.6029
Al  0.2088  0.1143  0.3971
Al  0.6058  0.6029  0.1143
Ga  0.8998  0.4060  0.7210
Ga  0.3058  0.7210  0.5940
Ga  0.6208  0.2790  0.4060
Ga  0.0268  0.5940  0.2790
Ga  0.6551  0.0000  0.0000

---

Entry 15:
Entry from the Alexandria database: a geometry-optimized Tl4CrTc structure (PBE).

ΔE_f = 26.6 kcal/mol of atoms
DOS at the Fermi energy = 0.96 states/eV/atom

Unit cell a=6.1272 b=6.1272 c=6.1272 alpha=60.00 beta=60.00 gamma=60.00
Each line ends with the local moment (μB).
Atoms (fractional coordinates):
Tl  0.8754  0.3748  0.3748  -0.01
Tl  0.3748  0.3748  0.8754  -0.01
Tl  0.3748  0.8754  0.3748  -0.01
Tl  0.3748  0.3748  0.3748  -0.01
Cr  0.7500  0.7500  0.7500  4.09
Tc  0.0000  0.0000  0.0000  3.12

---

Entry 16:
Entry from the Alexandria database: a geometry-optimized SrLaSe2 structure (PBE).

Raw formation energy = -1.734 eV/atom
DOS at the Fermi energy = 0.56 states/eV/atom
Distance to the lowest polymorph of the same formula = 0.266 eV/atom

Unit cell a=5.3354 b=5.3354 c=3.7183 alpha=89.98 beta=89.98 gamma=90.00
Atoms (fractional coordinates):
La  0.0000  0.5000  0.5000
Se  0.0000  0.0000  0.0000
Se  0.5000  0.5000  0.0000
Sr  0.5000  0.0000  0.5000

---

Entry 17:
Entry from the Alexandria database: a geometry-optimized LiRuBr2 structure (PBE).

Raw formation energy = -0.074 eV/atom
DOS at the Fermi energy = 0.81 states/eV/atom
Distance to the lowest polymorph of the same formula = 0.094 eV/atom

Unit cell a=3.7729 b=3.5236 c=6.7338 alpha=105.77 beta=90.00 gamma=90.00
Atoms (fractional coordinates):
Br  0.0000  0.8026  0.0020
Br  0.0000  0.6974  0.4980
Li  0.5000  0.2500  0.2500
Ru  0.5000  0.7500  0.7500

---

Entry 18:
Entry from the Alexandria database: a geometry-optimized MgBeMoHW structure (PBE).

DOS at the Fermi energy = 0.34 states/eV/atom
Distance to the lowest polymorph of the same formula = 0.119 eV/atom

Unit cell a=2.7398 b=4.5859 c=5.0752 alpha=93.67 beta=97.57 gamma=92.43
Atoms (fractional coordinates):
Mg  0.9327  0.3935  0.1300
Be  0.8104  0.9226  0.3513
Mo  0.4724  0.3333  0.6271
H  0.9959  0.6171  0.5527
W  0.2684  0.8724  0.8650

---

Entry 19:
Entry from the Alexandria database: a geometry-optimized LaCr2Au structure (PBE).

ΔE_f = 11.2 kcal/mol of atoms
DOS at the Fermi energy = 1.08 states/eV/atom
Distance to the lowest polymorph of the same formula = 0.422 eV/atom

Unit cell a=9.3938 b=9.3938 c=9.3938 alpha=19.23 beta=19.23 gamma=19.23
Each line ends with the local moment (μB).
Atoms (fractional coordinates):
Au  0.7365  0.7365  0.7365  0.03
Cr  0.9934  0.9934  0.9934  2.50
Cr  0.2688  0.2688  0.2688  -2.42
La  0.5013  0.5013  0.5013  0.38

---

Entry 20:
Entry from the Alexandria database: a geometry-optimized Pm4IrAu2 structure (PBE).

ΔE_f = -15.1 kcal/mol of atoms
DOS at the Fermi energy = 0.73 states/eV/atom
Distance to the lowest polymorph of the same formula = 0.000 eV/atom

Unit cell a=4.6891 b=6.0731 c=7.5471 alpha=105.63 beta=108.10 gamma=90.00
Atoms (fractional coordinates):
Pm  0.8482  0.2017  0.6963
Pm  0.1518  0.7983  0.3037
Pm  0.5836  0.2750  0.1672
Pm  0.4164  0.7250  0.8328
Ir  0.0000  0.0000  0.0000
Au  0.7698  0.6765  0.5396
Au  0.2302  0.3235  0.4604

---

Entry 21:
Entry from the Alexandria database: a geometry-optimized YMoAu2 structure (PBE).

ΔE_f = -0.5 kcal/mol of atoms
DOS at the Fermi energy = 0.88 states/eV/atom
Distance to the lowest polymorph of the same formula = 0.068 eV/atom

Unit cell a=3.0654 b=3.0654 c=8.2215 alpha=90.00 beta=90.00 gamma=89.97
Atoms (fractional coordinates):
Au  0.0000  0.0000  0.0192
Au  0.0000  0.0000  0.4808
Mo  0.5000  0.5000  0.2500
Y  0.5000  0.5000  0.7500

---

Entry 22:
Entry from the Alexandria database: a geometry-optimized KZn2Te structure (PBE).

Raw formation energy = 0.000 eV/atom
DOS at the Fermi energy = 0.30 states/eV/atom

Unit cell a=6.3124 b=6.3124 c=6.3124 alpha=138.01 beta=138.01 gamma=60.89
Atoms (fractional coordinates):
K  0.5000  0.5000  0.0000
Te  0.7500  0.2500  0.5000
Zn  0.0000  0.0000  0.0000
Zn  0.2500  0.7500  0.5000

---

Entry 23:
Entry from the Alexandria database: a geometry-optimized ScVFe2 structure (PBE).

ΔE_f = 7.7 kcal/mol of atoms
DOS at the Fermi energy = 0.97 states/eV/atom

Unit cell a=6.6180 b=6.6180 c=5.3921 alpha=52.14 beta=52.14 gamma=90.00
Each line ends with the local moment (μB).
Atoms (fractional coordinates):
Sc  0.5000  0.5000  0.0000  -0.22
Sc  0.2500  0.7500  0.5000  -0.22
Fe  0.6622  0.1250  0.2500  1.31
Fe  0.0878  0.6250  0.2500  1.31
Fe  0.3750  0.3378  0.7500  1.31
Fe  0.8750  0.9122  0.7500  1.31
V  0.0000  0.0000  0.0000  -0.98
V  0.7500  0.2500  0.5000  -0.98

---

Entry 24:
Entry from the Alexandria database: a geometry-optimized NbMoH2 structure (PBE).

DOS at the Fermi energy = 0.65 states/eV/atom
Distance to the lowest polymorph of the same formula = 0.192 eV/atom

Unit cell a=2.9561 b=2.9561 c=5.4252 alpha=74.19 beta=74.19 gamma=60.00
Atoms (fractional coordinates):
Nb  0.6708  0.6708  0.9875
Mo  0.4978  0.4978  0.5066
H  0.0877  0.0877  0.7370
H  0.2437  0.2437  0.2688

---

Entry 25:
Entry from the Alexandria database: a geometry-optimized MgBr2Cl structure (PBE).

Raw formation energy = -0.420 eV/atom
DOS at the Fermi energy = 0.48 states/eV/atom
Distance to the lowest polymorph of the same formula = 0.570 eV/atom

Unit cell a=6.2085 b=6.2085 c=6.2085 alpha=140.16 beta=140.16 gamma=57.61
Atoms (fractional coordinates):
Br  0.0000  0.0000  0.0000
Br  0.5000  0.5000  0.0000
Cl  0.2500  0.7500  0.5000
Mg  0.7500  0.2500  0.5000